Density functional theory data (GGA-PBEsol) for a geometry-optimized Cu3Mo2O10 structure.

## Properties
- Volume: 409.4 Å³/cell
- DOS(E_F): 1.9 states/eV/f.u.
- Calculated density: 4.40 g cm⁻³
- Energy relative to the elements, uncorrected: -1.22 eV per atom

CIF file:
```
data_Cu3Mo2O10
_chemical_formula_sum 'Cu6 Mo4 O20'
_space_group_name_H-M_alt 'P 1 21/c 1'
_space_group_IT_number 14
_cell_length_a 5.378
_cell_length_b 13.524
_cell_length_c 7.538
_cell_angle_alpha 90.00
_cell_angle_beta 131.70
_cell_angle_gamma 90.00
loop_
_space_group_symop_operation_xyz
'x,y,z'
'-x,-y,-z'
'-x,y+1/2,-z+1/2'
'x,-y+1/2,z+1/2'
loop_
_atom_site_label
_atom_site_type_symbol
_atom_site_fract_x
_atom_site_fract_y
_atom_site_fract_z
_atom_site_occupancy
Cu1 Cu 0.000 0.000 0.000 1
Cu2 Cu 0.343 0.073 0.539 1
Mo1 Mo 0.476 0.654 0.426 1
O1 O 0.094 0.615 0.147 1
O2 O 0.183 0.124 0.056 1
O3 O 0.247 0.518 0.817 1
O4 O 0.473 0.094 0.843 1
O5 O 0.479 0.720 0.956 1
```

=====

Density functional theory data (GGA-PBEsol) for a geometry-optimized Li3Cr3FeO8 structure.

## Properties
- Volume: 404.9 Å³/cell
- DOS(E_F): 16.0 states/eV/f.u.
- Calculated density: 4.44 g cm⁻³
- Energy relative to the elements, uncorrected: -1.89 eV per atom

CIF file:
```
data_Li3Cr3FeO8
_chemical_formula_sum 'Li9 Cr9 Fe3 O24'
_space_group_name_H-M_alt 'R -3 m'
_space_group_IT_number 166
_space_group_name_Hall '-R 3 2"'
_cell_length_a 5.7253
_cell_length_b 5.7253
_cell_length_c 14.2632
_cell_angle_alpha 90.00
_cell_angle_beta 90.00
_cell_angle_gamma 120.00
loop_
_atom_site_label
_atom_site_type_symbol
_atom_site_fract_x
_atom_site_fract_y
_atom_site_fract_z
_atom_site_occupancy
Li1 Li 0.0000 0.5000 0.0000 1
Cr1 Cr 0.0000 0.5000 0.5000 1
Fe1 Fe 0.0000 0.0000 0.5000 1
O1 O 0.0000 0.0000 0.2420 1
O2 O 0.0086 0.5043 0.2384 1
```

=====

Density functional theory data (GGA-PBEsol) for a geometry-optimized NaMnP structure.

## Properties
- Volume: 96.2 Å³/cell
- DOS(E_F): 1.5 states/eV/f.u.
- Calculated formation energy: -40.7 kJ per mole of atoms
- Calculated density: 3.76 g cm⁻³

CIF file:
```
data_NaMnP
_chemical_formula_sum 'Na2 Mn2 P2'
_space_group_name_H-M_alt 'P 4/n m m'
_space_group_IT_number 129
_cell_length_a 3.708
_cell_length_b 3.708
_cell_length_c 6.997
_cell_angle_alpha 90.00
_cell_angle_beta 90.00
_cell_angle_gamma 90.00
loop_
_space_group_symop_operation_xyz
'x,y,z'
'-x,-y,-z'
'-y+1/2,x,z'
'y+1/2,-x,-z'
'-x+1/2,-y+1/2,z'
'x+1/2,y+1/2,-z'
'y,-x+1/2,z'
'-y,x+1/2,-z'
'x+1/2,-y,-z'
'-x+1/2,y,z'
'-y,-x,-z'
'y,x,z'
'-x,y+1/2,-z'
'x,-y+1/2,z'
'y+1/2,x+1/2,-z'
'-y+1/2,-x+1/2,z'
loop_
_atom_site_label
_atom_site_type_symbol
_atom_site_fract_x
_atom_site_fract_y
_atom_site_fract_z
_atom_site_occupancy
Na1 Na 0.250 0.250 0.144 1
Mn1 Mn 0.250 0.750 0.500 1
P1 P 0.250 0.250 0.687 1
```

=====

Density functional theory data (GGA-PBEsol) for a geometry-optimized Sr2ZrTaMn structure.

## Properties
- Volume: 170.1 Å³/cell
- DOS(E_F): 6.5 states/eV/f.u.
- Calculated formation energy: 154.9 kJ per mole of atoms
- Calculated density: 4.91 g cm⁻³

CIF file:
```
data_Sr2ZrTaMn
_chemical_formula_sum 'Sr2 Zr1 Ta1 Mn1'
_space_group_name_H-M_alt 'P 4/m m m'
_space_group_IT_number 123
_space_group_name_Hall '-P 4 2'
_cell_length_a 5.938
_cell_length_b 5.938
_cell_length_c 4.823
_cell_angle_alpha 90.00
_cell_angle_beta 90.00
_cell_angle_gamma 90.00
loop_
_atom_site_label
_atom_site_type_symbol
_atom_site_fract_x
_atom_site_fract_y
_atom_site_fract_z
_atom_site_occupancy
Sr1 Sr 0.000 0.500 0.000 1
Zr1 Zr 0.000 0.000 0.000 1
Ta1 Ta 0.000 0.000 0.500 1
Mn1 Mn 0.500 0.500 0.500 1
```

=====

Density functional theory data (GGA-PBEsol) for a geometry-optimized ScMnTe2 structure.

## Properties
- Volume: 179.7 Å³/cell
- DOS(E_F): 4.2 states/eV/f.u.
- Calculated density: 6.56 g cm⁻³
- Energy relative to the elements, uncorrected: -0.25 eV per atom

CIF file:
```
data_ScMnTe2
_chemical_formula_sum 'Sc2 Mn2 Te4'
_space_group_name_H-M_alt 'I -4 m 2'
_space_group_IT_number 119
_space_group_name_Hall 'I -4 -2'
_cell_length_a 4.024
_cell_length_b 4.024
_cell_length_c 11.101
_cell_angle_alpha 90.00
_cell_angle_beta 90.00
_cell_angle_gamma 90.00
loop_
_atom_site_label
_atom_site_type_symbol
_atom_site_fract_x
_atom_site_fract_y
_atom_site_fract_z
_atom_site_occupancy
Sc1 Sc 0.000 0.000 0.000 1
Mn1 Mn 0.000 0.500 0.750 1
Te1 Te 0.000 0.000 0.500 1
Te2 Te 0.000 0.500 0.250 1
```

=====

Density functional theory data (GGA-PBEsol) for a geometry-optimized NbNiAs2Se structure.

## Properties
- Volume: 118.5 Å³/cell
- DOS(E_F): 8.8 states/eV/f.u.
- Calculated density: 5.33 g cm⁻³
- Energy relative to the elements, uncorrected: 0.78 eV per atom

CIF file:
```
data_NbNiAs2Se
_chemical_formula_sum 'Nb1 Ni1 As2 Se1'
_space_group_name_H-M_alt 'P 4/m m m'
_space_group_IT_number 123
_space_group_name_Hall '-P 4 2'
_cell_length_a 4.935
_cell_length_b 4.935
_cell_length_c 4.868
_cell_angle_alpha 90.00
_cell_angle_beta 90.00
_cell_angle_gamma 90.00
loop_
_atom_site_label
_atom_site_type_symbol
_atom_site_fract_x
_atom_site_fract_y
_atom_site_fract_z
_atom_site_occupancy
Nb1 Nb 0.000 0.000 0.000 1
Ni1 Ni 0.500 0.500 0.500 1
As1 As 0.000 0.500 0.000 1
Se1 Se 0.000 0.000 0.500 1
```

=====

Density functional theory data (GGA-PBEsol) for a geometry-optimized ZrZn2Mo structure.

## Properties
- Volume: 194.2 Å³/cell
- DOS(E_F): 2.6 states/eV/f.u.
- Calculated formation energy: 13.6 kJ per mole of atoms
- Calculated density: 8.16 g cm⁻³

CIF file:
```
data_ZrZn2Mo
_chemical_formula_sum 'Zr3 Zn6 Mo3'
_space_group_name_H-M_alt 'R -3 m'
_space_group_IT_number 166
_space_group_name_Hall '-R 3 2"'
_cell_length_a 2.8087
_cell_length_b 2.8087
_cell_length_c 28.4283
_cell_angle_alpha 90.00
_cell_angle_beta 90.00
_cell_angle_gamma 120.00
loop_
_atom_site_label
_atom_site_type_symbol
_atom_site_fract_x
_atom_site_fract_y
_atom_site_fract_z
_atom_site_occupancy
Zr1 Zr 0.0000 0.0000 0.0000 1
Zn1 Zn 0.0000 0.0000 0.2451 1
Mo1 Mo 0.0000 0.0000 0.5000 1
```

=====

Density functional theory data (GGA-PBEsol) for a geometry-optimized NbTl2TcP structure.

## Properties
- Volume: 135.2 Å³/cell
- DOS(E_F): 5.0 states/eV/f.u.
- Calculated formation energy: 134.1 kJ per mole of atoms
- Calculated density: 7.75 g cm⁻³

CIF file:
```
data_NbTl2TcP
_chemical_formula_sum 'Nb1 Tl2 Tc1 P1'
_space_group_name_H-M_alt 'P 4/m m m'
_space_group_IT_number 123
_space_group_name_Hall '-P 4 2'
_cell_length_a 5.383
_cell_length_b 5.383
_cell_length_c 4.666
_cell_angle_alpha 90.00
_cell_angle_beta 90.00
_cell_angle_gamma 90.00
loop_
_atom_site_label
_atom_site_type_symbol
_atom_site_fract_x
_atom_site_fract_y
_atom_site_fract_z
_atom_site_occupancy
Nb1 Nb 0.000 0.000 0.000 1
Tl1 Tl 0.000 0.500 0.000 1
Tc1 Tc 0.500 0.500 0.500 1
P1 P 0.000 0.000 0.500 1
```

=====

Density functional theory data (GGA-PBEsol) for a geometry-optimized ReNiTeI2 structure.

## Properties
- Volume: 130.0 Å³/cell
- DOS(E_F): 3.1 states/eV/f.u.
- Calculated density: 8.00 g cm⁻³
- Energy relative to the elements, uncorrected: 1.34 eV per atom

CIF file:
```
data_ReNiTeI2
_chemical_formula_sum 'Re1 Ni1 Te1 I2'
_space_group_name_H-M_alt 'P 4/m m m'
_space_group_IT_number 123
_space_group_name_Hall '-P 4 2'
_cell_length_a 5.015
_cell_length_b 5.015
_cell_length_c 5.168
_cell_angle_alpha 90.00
_cell_angle_beta 90.00
_cell_angle_gamma 90.00
loop_
_atom_site_label
_atom_site_type_symbol
_atom_site_fract_x
_atom_site_fract_y
_atom_site_fract_z
_atom_site_occupancy
Re1 Re 0.000 0.000 0.000 1
Ni1 Ni 0.500 0.500 0.500 1
Te1 Te 0.500 0.500 0.000 1
I1 I 0.000 0.500 0.500 1
```

=====

Density functional theory data (GGA-PBEsol) for a geometry-optimized Ca2AlCd structure.

## Properties
- Volume: 102.5 Å³/cell
- DOS(E_F): 2.0 states/eV/f.u.
- Calculated formation energy: -27.2 kJ per mole of atoms
- Calculated density: 3.56 g cm⁻³

CIF file:
```
data_Ca2AlCd
_chemical_formula_sum 'Ca2 Al1 Cd1'
_space_group_name_H-M_alt 'P m m 2'
_space_group_IT_number 25
_cell_length_a 3.631
_cell_length_b 5.258
_cell_length_c 5.369
_cell_angle_alpha 90.00
_cell_angle_beta 90.00
_cell_angle_gamma 90.00
loop_
_space_group_symop_operation_xyz
'x,y,z'
'-x,-y,z'
'-x,y,z'
'x,-y,z'
loop_
_atom_site_label
_atom_site_type_symbol
_atom_site_fract_x
_atom_site_fract_y
_atom_site_fract_z
_atom_site_occupancy
Ca1 Ca 0.000 0.000 0.000 1
Ca2 Ca 0.000 0.500 0.450 1
Al1 Al 0.500 0.000 0.515 1
Cd1 Cd 0.500 0.500 0.927 1
```

=====

Density functional theory data (GGA-PBEsol) for a geometry-optimized Rb2TeBr6 structure.

## Properties
- Volume: 1225.5 Å³/cell
- DOS(E_F): 0.0 states/eV/f.u.
- Calculated density: 4.22 g cm⁻³
- Energy relative to the elements, uncorrected: -1.03 eV per atom

CIF file:
```
data_Rb2TeBr6
_chemical_formula_sum 'Rb8 Te4 Br24'
_space_group_name_H-M_alt 'F m -3 m'
_space_group_IT_number 225
_space_group_name_Hall '-F 4 2 3'
_cell_length_a 10.701
_cell_length_b 10.701
_cell_length_c 10.701
_cell_angle_alpha 90.00
_cell_angle_beta 90.00
_cell_angle_gamma 90.00
loop_
_atom_site_label
_atom_site_type_symbol
_atom_site_fract_x
_atom_site_fract_y
_atom_site_fract_z
_atom_site_occupancy
Rb1 Rb 0.250 0.250 0.250 1
Te1 Te 0.000 0.000 0.000 1
Br1 Br 0.000 0.000 0.252 1
```

=====

Density functional theory data (GGA-PBEsol) for a geometry-optimized BeSbOs structure.

## Properties
- Volume: 46.8 Å³/cell
- DOS(E_F): 1.2 states/eV/f.u.
- Calculated density: 11.39 g cm⁻³
- Energy relative to the elements, uncorrected: 0.46 eV per atom

CIF file:
```
data_BeSbOs
_chemical_formula_sum 'Be1 Sb1 Os1'
_space_group_name_H-M_alt 'P 3 m 1'
_space_group_IT_number 156
_cell_length_a 3.0221
_cell_length_b 3.0221
_cell_length_c 5.9152
_cell_angle_alpha 90.00
_cell_angle_beta 90.00
_cell_angle_gamma 120.00
loop_
_space_group_symop_operation_xyz
'x,y,z'
'-y,x-y,z'
'-x+y,-x,z'
'-y,-x,z'
'-x+y,y,z'
'x,x-y,z'
loop_
_atom_site_label
_atom_site_type_symbol
_atom_site_fract_x
_atom_site_fract_y
_atom_site_fract_z
_atom_site_occupancy
Be1 Be 0.0000 0.0000 0.0000 1
Sb1 Sb 0.6667 0.3333 0.3807 1
Os1 Os 0.3333 0.6667 0.7329 1
```